1.
Material: La2PmHo2Er2
Method: DFT, PBE
State: relaxed Values from VASP.

**Calculated density**: 7.79 g cm⁻³
**Symmetry**: No. 12

Quantum ESPRESSO input file:
```
&SYSTEM
  ibrav = 0, nat = 7, ntyp = 4
/
ATOMIC_SPECIES
La 138.91 La.upf
Pm 145.00 Pm.upf
Ho 164.93 Ho.upf
Er 167.26 Er.upf
ATOMIC_POSITIONS crystal
La 0.858 0.716 0.574
Pm 0.000 0.000 0.000
Ho 0.716 0.432 0.138
Er 0.571 0.142 0.719
La 0.142 0.284 0.426
Ho 0.284 0.568 0.862
Er 0.429 0.858 0.281
CELL_PARAMETERS angstrom
-3.695 -0.488 -3.459
0.331 -4.729 4.050
-4.766 4.830 4.409
```

2.
Material: Cr2TcRu5
Method: DFT, PBE
State: relaxed Values from VASP.

**Calculated density**: 10.87 g cm⁻³
**Symmetry**: No. 42

Quantum ESPRESSO input file:
```
&SYSTEM
  ibrav = 0, nat = 8, ntyp = 3
/
ATOMIC_SPECIES
Tc 98.00 Tc.upf
Ru 101.07 Ru.upf
Cr 52.00 Cr.upf
ATOMIC_POSITIONS crystal
Tc 0.822 0.733 0.000
Ru 0.314 0.741 0.000
Ru 0.814 0.242 0.000
Cr 0.239 0.822 0.505
Ru 0.321 0.235 0.000
Ru 0.739 0.817 0.500
Cr 0.734 0.317 0.495
Ru 0.239 0.317 0.500
CELL_PARAMETERS angstrom
5.150 -0.354 -1.547
-2.937 4.247 -1.544
0.093 0.161 5.059
```

no.,DFT formation energy (eV/atom)
1,0.0315
2,0.0139